Record 1
# DyScAu2

A geometry-optimized DyScAu2 structure (PBE-GGA, Alexandria via LeMat-Bulk).

Geometry as POSCAR:
```
DyScAu2
1.0
7.020 0.000 0.000
0.000 7.020 0.000
0.000 0.000 7.020
Dy Sc Au
4 4 8
direct
0.000 0.000 0.000
0.000 0.500 0.500
0.500 0.000 0.500
0.500 0.500 0.000
0.000 0.000 0.500
0.000 0.500 0.000
0.500 0.000 0.000
0.500 0.500 0.500
0.250 0.250 0.250
0.250 0.250 0.750
0.250 0.750 0.250
0.250 0.750 0.750
0.750 0.250 0.250
0.750 0.250 0.750
0.750 0.750 0.250
0.750 0.750 0.750
```

Computed properties:
- space-group type = Fm-3m, No. 225
- VASP energy (eV per atom) = -5.1782
- size of the total moment (μB per atom) = 0.000

Record 2
# Dy2ScAu2

A geometry-optimized Dy2ScAu2 structure (PBE-GGA, Alexandria via LeMat-Bulk).

Geometry as POSCAR:
```
Dy2ScAu2
1.0
3.951 0.000 0.000
0.000 6.815 0.000
0.000 0.000 9.110
Dy Sc Au
4 2 4
direct
0.000 0.000 0.202
0.000 0.000 0.798
0.500 0.500 0.298
0.500 0.500 0.702
0.000 0.500 0.000
0.500 0.000 0.500
0.000 0.284 0.500
0.000 0.716 0.500
0.500 0.216 0.000
0.500 0.784 0.000
```

Computed properties:
- space-group type = Immm, No. 71
- VASP energy (eV per atom) = -5.0544
- size of the total moment (μB per atom) = 0.000

Record 3
# DyScAu6

A geometry-optimized DyScAu6 structure (PBE-GGA, Alexandria via LeMat-Bulk).

Geometry as POSCAR:
```
DyScAu6
1.0
9.116 0.000 0.000
0.000 4.420 0.000
-4.200 0.000 7.719
Dy Sc Au
2 2 12
direct
0.000 0.000 0.000
0.500 0.500 0.000
0.000 0.000 0.500
0.500 0.500 0.500
0.006 0.500 0.749
0.247 0.000 0.864
0.247 0.500 0.616
0.253 0.000 0.384
0.253 0.500 0.136
0.494 0.000 0.251
0.506 0.000 0.749
0.747 0.000 0.616
0.747 0.500 0.864
0.753 0.000 0.136
0.753 0.500 0.384
0.994 0.500 0.251
```

Computed properties:
- space-group type = C2/m, No. 12
- VASP energy (eV per atom) = -4.4560
- size of the total moment (μB per atom) = 0.000

Record 4
# DySc5Au6

A geometry-optimized DySc5Au6 structure (PBE-GGA, Alexandria via LeMat-Bulk).

Geometry as POSCAR:
```
DySc5Au6
1.0
-2.434 3.430 7.312
2.434 -3.430 7.312
2.434 3.430 -7.312
Dy Sc Au
1 5 6
direct
0.000 0.000 0.000
0.166 0.666 0.500
0.332 0.332 0.000
0.500 0.000 0.500
0.668 0.668 0.000
0.834 0.334 0.500
0.086 0.828 0.258
0.266 0.500 0.766
0.429 0.172 0.258
0.571 0.828 0.742
0.734 0.500 0.234
0.914 0.172 0.742
```

Computed properties:
- space-group type = Immm, No. 71
- VASP energy (eV per atom) = -5.4641
- size of the total moment (μB per atom) = 0.000

Record 5
# DySc3Au4

A geometry-optimized DySc3Au4 structure (PBE-GGA, Alexandria via LeMat-Bulk).

Geometry as POSCAR:
```
DySc3Au4
1.0
2.428 1.402 8.116
-2.428 1.402 8.116
0.000 -2.803 8.116
Dy Sc Au
1 3 4
direct
0.000 0.000 0.000
0.248 0.248 0.248
0.500 0.500 0.500
0.752 0.752 0.752
0.128 0.128 0.128
0.383 0.383 0.383
0.617 0.617 0.617
0.872 0.872 0.872
```

Computed properties:
- space-group type = R-3m, No. 166
- VASP energy (eV per atom) = -5.3936
- size of the total moment (μB per atom) = 0.000

Record 6
# Dy5ScAu6

A geometry-optimized Dy5ScAu6 structure (PBE-GGA, Alexandria via LeMat-Bulk).

Geometry as POSCAR:
```
Dy5ScAu6
1.0
-2.531 3.535 7.622
2.531 -3.535 7.622
2.531 3.535 -7.622
Dy Sc Au
5 1 6
direct
0.000 0.000 0.000
0.166 0.666 0.500
0.332 0.332 0.000
0.668 0.668 0.000
0.834 0.334 0.500
0.500 0.000 0.500
0.097 0.839 0.258
0.264 0.500 0.764
0.419 0.161 0.258
0.581 0.839 0.742
0.736 0.500 0.236
0.903 0.161 0.742
```

Computed properties:
- space-group type = Immm, No. 71
- VASP energy (eV per atom) = -4.9270
- size of the total moment (μB per atom) = 0.000

Record 7
# DySc3Au2

A geometry-optimized DySc3Au2 structure (PBE-GGA, Alexandria via LeMat-Bulk).

Geometry as POSCAR:
```
DySc3Au2
1.0
4.719 0.000 0.000
0.000 8.483 0.000
0.000 0.000 6.808
Dy Sc Au
2 6 4
direct
0.000 0.069 0.000
0.000 0.931 0.500
0.000 0.332 0.634
0.000 0.668 0.134
0.500 0.180 0.333
0.500 0.434 0.965
0.500 0.566 0.465
0.500 0.820 0.833
0.000 0.355 0.234
0.000 0.645 0.734
0.500 0.154 0.735
0.500 0.846 0.235
```

Computed properties:
- space-group type = Pmc2_1, No. 26
- VASP energy (eV per atom) = -5.6694
- size of the total moment (μB per atom) = 0.000

Record 8
# DyScSiAu

A geometry-optimized DyScSiAu structure (PBE-GGA, Alexandria via LeMat-Bulk).

Geometry as POSCAR:
```
DyScSiAu
1.0
6.945 0.000 0.000
0.000 6.945 0.000
0.000 0.000 6.945
Dy Sc Si Au
4 4 4 4
direct
0.000 0.000 0.000
0.000 0.500 0.500
0.500 0.000 0.500
0.500 0.500 0.000
0.000 0.000 0.500
0.000 0.500 0.000
0.500 0.000 0.000
0.500 0.500 0.500
0.250 0.250 0.750
0.250 0.750 0.250
0.750 0.250 0.250
0.750 0.750 0.750
0.250 0.250 0.250
0.250 0.750 0.750
0.750 0.250 0.750
0.750 0.750 0.250
```

Computed properties:
- space-group type = F-43m, No. 216
- formation energy without anion corrections (meV per atom) = -640
- size of the total moment (μB per atom) = 0.124

Record 9
# DyScSnAu

A geometry-optimized DyScSnAu structure (PBE-GGA, Alexandria via LeMat-Bulk).

Geometry as POSCAR:
```
DyScSnAu
1.0
7.191 0.000 0.000
0.000 7.191 0.000
0.000 0.000 7.191
Dy Sc Sn Au
4 4 4 4
direct
0.000 0.000 0.000
0.000 0.500 0.500
0.500 0.000 0.500
0.500 0.500 0.000
0.000 0.000 0.500
0.000 0.500 0.000
0.500 0.000 0.000
0.500 0.500 0.500
0.250 0.250 0.250
0.250 0.750 0.750
0.750 0.250 0.750
0.750 0.750 0.250
0.250 0.250 0.750
0.250 0.750 0.250
0.750 0.250 0.250
0.750 0.750 0.750
```

Computed properties:
- space-group type = F-43m, No. 216
- VASP energy (eV per atom) = -5.2318
- size of the total moment (μB per atom) = 0.183

Record 10
# TbDyScAu

A geometry-optimized TbDyScAu structure (PBE-GGA, Alexandria via LeMat-Bulk).

Geometry as POSCAR:
```
TbDyScAu
1.0
7.373 0.000 0.000
0.000 7.373 0.000
0.000 0.000 7.373
Tb Dy Sc Au
4 4 4 4
direct
0.000 0.000 0.000
0.000 0.500 0.500
0.500 0.000 0.500
0.500 0.500 0.000
0.000 0.000 0.500
0.000 0.500 0.000
0.500 0.000 0.000
0.500 0.500 0.500
0.250 0.250 0.750
0.250 0.750 0.250
0.750 0.250 0.250
0.750 0.750 0.750
0.250 0.250 0.250
0.250 0.750 0.750
0.750 0.250 0.750
0.750 0.750 0.250
```

Computed properties:
- space-group type = F-43m, No. 216
- VASP energy (eV per atom) = -4.9039
- size of the total moment (μB per atom) = 0.047

Record 11
# DyScTlAu

A geometry-optimized DyScTlAu structure (PBE-GGA, Alexandria via LeMat-Bulk).

Geometry as POSCAR:
```
DyScTlAu
1.0
7.216 0.000 0.000
0.000 7.216 0.000
0.000 0.000 7.216
Dy Sc Tl Au
4 4 4 4
direct
0.000 0.000 0.000
0.000 0.500 0.500
0.500 0.000 0.500
0.500 0.500 0.000
0.000 0.000 0.500
0.000 0.500 0.000
0.500 0.000 0.000
0.500 0.500 0.500
0.250 0.250 0.250
0.250 0.750 0.750
0.750 0.250 0.750
0.750 0.750 0.250
0.250 0.250 0.750
0.250 0.750 0.250
0.750 0.250 0.250
0.750 0.750 0.750
```

Computed properties:
- space-group type = F-43m, No. 216
- VASP energy (eV per atom) = -4.6716
- size of the total moment (μB per atom) = 0.000

Record 12
# DyScTlAu

A geometry-optimized DyScTlAu structure (PBE-GGA, Alexandria via LeMat-Bulk).

Geometry as POSCAR:
```
DyScTlAu
1.0
3.531 0.000 0.000
0.000 3.531 0.000
0.000 0.000 7.490
Dy Sc Tl Au
1 1 1 1
direct
0.000 0.000 0.000
0.000 0.000 0.542
0.500 0.500 0.285
0.500 0.500 0.745
```

Computed properties:
- space-group type = P4mm, No. 99
- VASP energy (eV per atom) = -4.7190
- size of the total moment (μB per atom) = 0.003

Record 13
# DyScZnAu

A geometry-optimized DyScZnAu structure (PBE-GGA, Alexandria via LeMat-Bulk).

Geometry as POSCAR:
```
DyScZnAu
1.0
6.980 0.000 0.000
0.000 6.980 0.000
0.000 0.000 6.980
Dy Sc Zn Au
4 4 4 4
direct
0.000 0.000 0.000
0.000 0.500 0.500
0.500 0.000 0.500
0.500 0.500 0.000
0.000 0.000 0.500
0.000 0.500 0.000
0.500 0.000 0.000
0.500 0.500 0.500
0.250 0.250 0.750
0.250 0.750 0.250
0.750 0.250 0.250
0.750 0.750 0.750
0.250 0.250 0.250
0.250 0.750 0.750
0.750 0.250 0.750
0.750 0.750 0.250
```

Computed properties:
- space-group type = F-43m, No. 216
- VASP energy (eV per atom) = -4.4434
- size of the total moment (μB per atom) = 0.000

Record 14
# DyAuSe

A geometry-optimized DyAuSe structure (PBE-GGA, Alexandria via LeMat-Bulk).

Geometry as POSCAR:
```
DyAuSe
1.0
8.445 0.000 0.000
0.000 4.633 0.000
-2.623 0.000 8.150
Dy Au Se
4 4 4
direct
0.236 0.000 0.224
0.264 0.500 0.776
0.736 0.500 0.224
0.764 0.000 0.776
0.128 0.500 0.412
0.372 0.000 0.588
0.628 0.000 0.412
0.872 0.500 0.588
0.116 0.000 0.860
0.384 0.500 0.140
0.616 0.500 0.860
0.884 0.000 0.140
```

Computed properties:
- space-group type = C2/m, No. 12
- formation energy without anion corrections (meV per atom) = -1147
- size of the total moment (μB per atom) = 0.000

Record 15
# Dy3AuSe3

A geometry-optimized Dy3AuSe3 structure (PBE-GGA, Alexandria via LeMat-Bulk).

Geometry as POSCAR:
```
Dy3AuSe3
1.0
4.282 2.472 5.740
-4.282 2.472 5.740
0.000 -4.944 5.740
Dy Au Se
6 2 6
direct
0.045 0.423 0.784
0.216 0.955 0.577
0.423 0.784 0.045
0.577 0.216 0.955
0.784 0.045 0.423
0.955 0.577 0.216
0.157 0.157 0.157
0.843 0.843 0.843
0.131 0.701 0.407
0.299 0.593 0.869
0.407 0.131 0.701
0.593 0.869 0.299
0.701 0.407 0.131
0.869 0.299 0.593
```

Computed properties:
- space-group type = R-3, No. 148
- formation energy without anion corrections (meV per atom) = -1451
- size of the total moment (μB per atom) = 0.000

Record 16
# Dy8Te4AuSe3

A geometry-optimized Dy8Te4AuSe3 structure (PBE-GGA, Alexandria via LeMat-Bulk).

Geometry as POSCAR:
```
Dy8Te4AuSe3
1.0
4.217 2.435 7.023
-4.217 2.435 7.023
0.000 -4.870 7.023
Dy Te Au Se
8 4 1 3
direct
0.239 0.239 0.239
0.246 0.738 0.738
0.262 0.262 0.754
0.262 0.754 0.262
0.738 0.246 0.738
0.738 0.738 0.246
0.754 0.262 0.262
0.761 0.761 0.761
0.000 0.000 0.000
0.000 0.500 0.500
0.500 0.000 0.500
0.500 0.500 0.000
0.500 0.500 0.500
0.000 0.000 0.500
0.000 0.500 0.000
0.500 0.000 0.000
```

Computed properties:
- space-group type = R-3m, No. 166
- formation energy without anion corrections (meV per atom) = -1428
- size of the total moment (μB per atom) = 0.000

Record 17
# Dy6Te3Au2Se

A geometry-optimized Dy6Te3Au2Se structure (PBE-GGA, Alexandria via LeMat-Bulk).

Geometry as POSCAR:
```
Dy6Te3Au2Se
1.0
9.512 -2.075 0.000
9.512 2.075 0.000
-2.649 0.000 8.362
Dy Te Au Se
6 3 2 1
direct
0.011 0.011 0.242
0.333 0.333 0.413
0.334 0.334 0.881
0.666 0.666 0.119
0.667 0.667 0.587
0.989 0.989 0.758
0.161 0.161 0.851
0.500 0.500 0.500
0.839 0.839 0.149
0.173 0.173 0.356
0.827 0.827 0.644
0.500 0.500 0.000
```

Computed properties:
- space-group type = C2/m, No. 12
- formation energy without anion corrections (meV per atom) = -1221
- size of the total moment (μB per atom) = 0.000

Record 18
# Dy6Te3AuSe2

A geometry-optimized Dy6Te3AuSe2 structure (PBE-GGA, Alexandria via LeMat-Bulk).

Geometry as POSCAR:
```
Dy6Te3AuSe2
1.0
3.668 -6.336 0.000
3.668 6.336 0.000
-2.427 0.000 7.022
Dy Te Au Se
6 3 1 2
direct
0.074 0.401 0.224
0.251 0.251 0.773
0.401 0.074 0.224
0.599 0.926 0.776
0.749 0.749 0.227
0.926 0.599 0.776
0.171 0.829 0.500
0.500 0.500 0.500
0.829 0.171 0.500
0.000 0.000 0.000
0.335 0.665 0.000
0.665 0.335 0.000
```

Computed properties:
- space-group type = C2/m, No. 12
- formation energy without anion corrections (meV per atom) = -1403
- size of the total moment (μB per atom) = 0.000

Record 19
# Dy4Te2AuSe

A geometry-optimized Dy4Te2AuSe structure (PBE-GGA, Alexandria via LeMat-Bulk).

Geometry as POSCAR:
```
Dy4Te2AuSe
1.0
7.462 0.000 0.000
0.000 4.139 0.000
-2.357 0.000 7.096
Dy Te Au Se
4 2 1 1
direct
0.235 0.000 0.223
0.256 0.500 0.773
0.744 0.500 0.227
0.765 0.000 0.777
0.000 0.000 0.500
0.500 0.500 0.500
0.000 0.500 0.000
0.500 0.000 0.000
```

Computed properties:
- space-group type = P2/m, No. 10
- formation energy without anion corrections (meV per atom) = -1310
- size of the total moment (μB per atom) = 0.000

Record 20
# Dy4TeAuSe2

A geometry-optimized Dy4TeAuSe2 structure (PBE-GGA, Alexandria via LeMat-Bulk).

Geometry as POSCAR:
```
Dy4TeAuSe2
1.0
7.272 0.000 0.000
0.000 4.064 0.000
-2.294 0.000 7.014
Dy Te Au Se
4 1 1 2
direct
0.234 0.000 0.234
0.238 0.500 0.751
0.762 0.500 0.249
0.766 0.000 0.766
0.500 0.500 0.500
0.000 0.000 0.500
0.000 0.500 0.000
0.500 0.000 0.000
```

Computed properties:
- space-group type = P2/m, No. 10
- formation energy without anion corrections (meV per atom) = -1396
- size of the total moment (μB per atom) = 0.000

Record 21
# Dy6TlAu2Se3

A geometry-optimized Dy6TlAu2Se3 structure (PBE-GGA, Alexandria via LeMat-Bulk).

Geometry as POSCAR:
```
Dy6TlAu2Se3
1.0
9.475 -2.000 0.000
9.475 2.000 0.000
-3.172 0.000 8.132
Dy Tl Au Se
6 1 2 3
direct
0.006 0.006 0.233
0.328 0.328 0.427
0.330 0.330 0.929
0.670 0.670 0.071
0.672 0.672 0.573
0.994 0.994 0.767
0.500 0.500 0.500
0.158 0.158 0.812
0.842 0.842 0.188
0.167 0.167 0.322
0.500 0.500 0.000
0.833 0.833 0.678
```

Computed properties:
- space-group type = C2/m, No. 12
- formation energy without anion corrections (meV per atom) = -1186
- size of the total moment (μB per atom) = 0.000

Record 22
# Dy4Si3Au

A geometry-optimized Dy4Si3Au structure (PBE-GGA, Alexandria via LeMat-Bulk).

Geometry as POSCAR:
```
Dy4Si3Au
1.0
3.961 0.000 0.000
0.000 4.231 0.000
0.000 0.000 10.772
Dy Si Au
4 3 1
direct
0.000 0.000 0.000
0.000 0.500 0.491
0.500 0.000 0.714
0.500 0.500 0.216
0.000 0.000 0.280
0.500 0.000 0.426
0.500 0.500 0.940
0.000 0.500 0.776
```

Computed properties:
- space-group type = Pmm2, No. 25
- formation energy without anion corrections (meV per atom) = -797
- size of the total moment (μB per atom) = 0.000

Record 23
# Dy3Si5Au6

A geometry-optimized Dy3Si5Au6 structure (PBE-GGA, Alexandria via LeMat-Bulk).

Geometry as POSCAR:
```
Dy3Si5Au6
1.0
4.222 0.000 0.000
0.000 12.743 0.000
0.000 0.000 9.786
Dy Si Au
6 10 12
direct
0.250 0.077 0.244
0.250 0.423 0.244
0.250 0.750 0.254
0.750 0.250 0.746
0.750 0.577 0.756
0.750 0.923 0.756
0.250 0.088 0.859
0.250 0.412 0.859
0.250 0.628 0.537
0.250 0.750 0.793
0.250 0.872 0.537
0.750 0.128 0.463
0.750 0.250 0.207
0.750 0.372 0.463
0.750 0.588 0.141
0.750 0.912 0.141
0.250 0.066 0.611
0.250 0.250 0.016
0.250 0.250 0.457
0.250 0.434 0.611
0.250 0.589 0.995
0.250 0.911 0.995
0.750 0.089 0.005
0.750 0.411 0.005
0.750 0.566 0.389
0.750 0.750 0.543
0.750 0.750 0.984
0.750 0.934 0.389
```

Computed properties:
- space-group type = Pmmn, No. 59
- formation energy without anion corrections (meV per atom) = -542
- size of the total moment (μB per atom) = 0.000